DFT (GGA-PBE) results for a relaxed structure of SrZr2Se. Values from VASP.

Properties
- E_form (uncorrected): -0.22 eV/f.u.
- E_tot: -5.621 eV/atom
- Crystal system: tetragonal
- Total moment: 0.000 μB per atom
- Calculated volume: 27.58 Å³/atom

```
&SYSTEM
  ibrav = 0, nat = 4, ntyp = 3
/
ATOMIC_SPECIES
Sr 87.62 Sr.upf
Zr 91.22 Zr.upf
Se 78.96 Se.upf
CELL_PARAMETERS angstrom
-3.362 0.205 6.021
-4.113 -4.764 2.825
6.088 1.053 -3.068
ATOMIC_POSITIONS crystal
Sr 0.750 0.250 0.500
Zr 0.000 0.000 0.000
Zr 0.500 0.500 0.000
Se 0.250 0.750 0.500
```



DFT (GGA-PBE) results for a relaxed structure of CaZrAsBr2. Values from VASP.

Properties
- E_form (uncorrected): -0.56 eV/f.u.
- E_tot: -3.822 eV/atom
- Crystal system: tetragonal
- Total moment: 0.209 μB per atom
- Calculated volume: 32.16 Å³/atom

```
&SYSTEM
  ibrav = 0, nat = 5, ntyp = 4
/
ATOMIC_SPECIES
Br 79.90 Br.upf
Zr 91.22 Zr.upf
Ca 40.08 Ca.upf
As 74.92 As.upf
CELL_PARAMETERS angstrom
5.194 0.000 0.000
0.000 5.194 0.000
0.000 0.000 5.959
ATOMIC_POSITIONS crystal
Br 0.500 0.000 0.000
Br 0.000 0.500 0.000
Zr 0.500 0.500 0.500
Ca 0.000 0.000 0.000
As 0.000 0.000 0.500
```



DFT (GGA-PBE) results for a relaxed structure of ZrAlCr3. Values from VASP.

Properties
- ΔH_f (0 K): 1.675 eV per atom
- E_tot: -6.557 eV/atom
- Crystal system: cubic
- Total moment: 1.809 μB per atom
- Calculated volume: 21.41 Å³/atom

```
&SYSTEM
  ibrav = 0, nat = 5, ntyp = 3
/
ATOMIC_SPECIES
Al 26.98 Al.upf
Cr 52.00 Cr.upf
Zr 91.22 Zr.upf
CELL_PARAMETERS angstrom
-3.824 -0.302 2.798
-2.605 -1.407 -3.712
1.065 -4.525 0.967
ATOMIC_POSITIONS crystal
Al 0.500 0.500 0.500
Cr 0.500 0.000 0.000
Cr 0.000 0.000 0.500
Cr 0.000 0.500 0.000
Zr 0.000 0.000 0.000
```



DFT (GGA-PBE) results for a relaxed structure of HgH2Pt. Values from VASP.

Properties
- E_tot: -3.249 eV/atom
- Crystal system: orthorhombic
- Total moment: 0.000 μB per atom
- Calculated volume: 12.26 Å³/atom

```
&SYSTEM
  ibrav = 0, nat = 8, ntyp = 3
/
ATOMIC_SPECIES
H 1.01 H.upf
Pt 195.08 Pt.upf
Hg 200.59 Hg.upf
CELL_PARAMETERS angstrom
-4.607 1.833 1.429
1.347 0.938 -4.892
-0.120 -4.887 0.579
ATOMIC_POSITIONS crystal
H 0.082 0.595 0.703
H 0.595 0.082 0.203
H 0.330 0.317 0.704
H 0.317 0.330 0.204
Pt 0.048 0.298 0.388
Pt 0.298 0.048 0.888
Hg 0.914 0.664 0.119
Hg 0.664 0.914 0.619
```



DFT (GGA-PBE) results for a relaxed structure of HoAg6Au12. Values from VASP.

Properties
- ΔH_f (0 K): -0.055 eV per atom
- E_tot: -3.266 eV/atom
- Crystal system: trigonal
- Total moment: 0.000 μB per atom
- Calculated volume: 19.43 Å³/atom

```
&SYSTEM
  ibrav = 0, nat = 19, ntyp = 3
/
ATOMIC_SPECIES
Ag 107.87 Ag.upf
Au 196.97 Au.upf
Ho 164.93 Ho.upf
CELL_PARAMETERS angstrom
-0.653 -7.273 -0.510
5.910 0.528 4.287
-5.302 1.496 4.820
ATOMIC_POSITIONS crystal
Ag 0.820 0.568 0.820
Ag 0.568 0.820 0.820
Ag 0.180 0.180 0.432
Ag 0.432 0.180 0.180
Ag 0.820 0.820 0.568
Ag 0.180 0.432 0.180
Au 0.000 0.259 0.741
Au 0.820 0.402 0.403
Au 0.741 0.000 0.259
Au 0.741 0.259 0.000
Au 0.403 0.820 0.402
Au 0.259 0.000 0.741
Au 0.598 0.597 0.180
Au 0.180 0.598 0.597
Au 0.259 0.741 0.000
Au 0.597 0.180 0.598
Au 0.402 0.403 0.820
Au 0.000 0.741 0.259
Ho 0.000 0.000 0.000
```



DFT (GGA-PBE) results for a relaxed structure of CuS3O. Values from VASP.

Properties
- E_form (uncorrected): -0.80 eV/f.u.
- E_tot: -4.448 eV/atom
- Crystal system: monoclinic
- Total moment: 0.000 μB per atom
- Calculated volume: 20.77 Å³/atom

```
&SYSTEM
  ibrav = 0, nat = 20, ntyp = 3
/
ATOMIC_SPECIES
S 32.06 S.upf
O 16.00 O.upf
Cu 63.55 Cu.upf
CELL_PARAMETERS angstrom
6.178 0.523 -0.257
2.288 12.168 3.025
-1.928 0.523 5.875
ATOMIC_POSITIONS crystal
S 0.357 0.349 0.906
S 0.603 0.353 0.732
S 0.338 0.983 0.949
S 0.051 0.517 0.662
S 0.268 0.147 0.397
S 0.662 0.017 0.051
S 0.094 0.151 0.643
S 0.906 0.849 0.357
S 0.732 0.853 0.603
S 0.949 0.483 0.338
S 0.643 0.651 0.094
S 0.397 0.647 0.268
O 0.461 0.368 0.142
O 0.142 0.868 0.461
O 0.539 0.632 0.858
O 0.858 0.132 0.539
Cu 0.938 0.250 0.062
Cu 0.062 0.750 0.938
Cu 0.497 0.250 0.503
Cu 0.503 0.750 0.497
```



DFT (GGA-PBE) results for a relaxed structure of Cr2HBr2. Values from VASP.

Properties
- E_tot: -4.557 eV/atom
- Crystal system: tetragonal
- Total moment: 0.360 μB per atom
- Calculated volume: 17.86 Å³/atom

```
&SYSTEM
  ibrav = 0, nat = 5, ntyp = 3
/
ATOMIC_SPECIES
Br 79.90 Br.upf
Cr 52.00 Cr.upf
H 1.01 H.upf
CELL_PARAMETERS angstrom
3.544 0.000 0.000
0.000 3.544 0.000
1.772 1.772 7.111
ATOMIC_POSITIONS crystal
Br 0.627 0.627 0.746
Br 0.373 0.373 0.254
Cr 0.250 0.750 0.500
Cr 0.750 0.250 0.500
H 0.000 0.000 0.000
```



DFT (GGA-PBE) results for a relaxed structure of ZnCdRh. Values from VASP.

Properties
- ΔH_f (0 K): 0.019 eV per atom
- E_tot: -3.161 eV/atom
- Crystal system: cubic
- Total moment: 0.000 μB per atom
- Calculated volume: 19.37 Å³/atom

```
&SYSTEM
  ibrav = 0, nat = 3, ntyp = 3
/
ATOMIC_SPECIES
Rh 102.91 Rh.upf
Cd 112.41 Cd.upf
Zn 65.41 Zn.upf
CELL_PARAMETERS angstrom
-0.896 0.451 4.230
1.522 -2.895 2.865
3.144 1.138 2.779
ATOMIC_POSITIONS crystal
Rh 0.750 0.750 0.750
Cd 0.500 0.500 0.500
Zn 0.000 0.000 0.000
```



DFT (GGA-PBE) results for a relaxed structure of NiSbW2. Values from VASP.

Properties
- E_form (uncorrected): 2.26 eV/f.u.
- E_tot: -8.387 eV/atom
- Crystal system: orthorhombic
- Total moment: 0.000 μB per atom
- Calculated volume: 16.18 Å³/atom

```
&SYSTEM
  ibrav = 0, nat = 4, ntyp = 3
/
ATOMIC_SPECIES
W 183.84 W.upf
Sb 121.76 Sb.upf
Ni 58.69 Ni.upf
CELL_PARAMETERS angstrom
4.891 0.032 0.000
-2.042 4.444 0.000
0.000 0.000 2.969
ATOMIC_POSITIONS crystal
W 0.500 0.500 0.000
W 0.000 0.000 0.000
Sb 0.000 0.500 0.500
Ni 0.500 0.000 0.500
```



DFT (GGA-PBE) results for a relaxed structure of TaTi3Cr. Values from VASP.

Properties
- ΔH_f (0 K): 1.552 eV per atom
- E_tot: -7.480 eV/atom
- Crystal system: cubic
- Total moment: 0.005 μB per atom
- Calculated volume: 21.10 Å³/atom

```
&SYSTEM
  ibrav = 0, nat = 5, ntyp = 3
/
ATOMIC_SPECIES
Ti 47.87 Ti.upf
Ta 180.95 Ta.upf
Cr 52.00 Cr.upf
CELL_PARAMETERS angstrom
-2.805 -3.580 1.279
2.726 -0.786 3.778
-2.650 2.981 2.533
ATOMIC_POSITIONS crystal
Ti 0.000 0.500 0.000
Ti 0.500 0.000 0.000
Ti 0.000 0.000 0.500
Ta 0.000 0.000 0.000
Cr 0.500 0.500 0.500
```



DFT (GGA-PBE) results for a relaxed structure of InNiIr. Values from VASP.

Properties
- ΔH_f (0 K): 0.092 eV per atom
- E_tot: -5.701 eV/atom
- Crystal system: orthorhombic
- Total moment: 0.136 μB per atom
- Calculated volume: 15.34 Å³/atom

```
&SYSTEM
  ibrav = 0, nat = 3, ntyp = 3
/
ATOMIC_SPECIES
Ir 192.22 Ir.upf
In 114.82 In.upf
Ni 58.69 Ni.upf
CELL_PARAMETERS angstrom
4.899 0.052 -0.024
2.613 4.144 0.024
-3.484 -2.585 2.276
ATOMIC_POSITIONS crystal
Ir 0.323 0.323 0.000
In 0.002 0.002 0.000
Ni 0.675 0.675 0.000
```



DFT (GGA-PBE) results for a relaxed structure of Cd2PtPb. Values from VASP.

Properties
- ΔH_f (0 K): -0.090 eV per atom
- E_tot: -2.985 eV/atom
- Crystal system: monoclinic
- Total moment: 0.000 μB per atom
- Calculated volume: 23.71 Å³/atom

```
&SYSTEM
  ibrav = 0, nat = 4, ntyp = 3
/
ATOMIC_SPECIES
Cd 112.41 Cd.upf
Pb 207.20 Pb.upf
Pt 195.08 Pt.upf
CELL_PARAMETERS angstrom
-4.511 1.875 -2.227
-5.131 -1.495 -0.517
-4.545 2.473 3.227
ATOMIC_POSITIONS crystal
Cd 0.050 0.050 0.866
Cd 0.264 0.264 0.227
Pb 0.441 0.441 0.493
Pt 0.745 0.745 0.914
```



DFT (GGA-PBE) results for a relaxed structure of ZrGeIrS2. Values from VASP.

Properties
- E_form (uncorrected): 3.82 eV/f.u.
- E_tot: -5.292 eV/atom
- Crystal system: tetragonal
- Total moment: 0.493 μB per atom
- Calculated volume: 25.54 Å³/atom

```
&SYSTEM
  ibrav = 0, nat = 5, ntyp = 4
/
ATOMIC_SPECIES
Ge 72.64 Ge.upf
Ir 192.22 Ir.upf
S 32.06 S.upf
Zr 91.22 Zr.upf
CELL_PARAMETERS angstrom
4.819 0.000 0.000
0.000 5.498 0.000
0.000 0.000 4.819
ATOMIC_POSITIONS crystal
Ge 0.000 0.500 0.000
Ir 0.500 0.500 0.500
S 0.500 0.000 0.000
S 0.000 0.000 0.500
Zr 0.000 0.000 0.000
```



DFT (GGA-PBE) results for a relaxed structure of Cr2TcC. Values from VASP.

Properties
- ΔH_f (0 K): 0.248 eV per atom
- E_tot: -9.461 eV/atom
- Crystal system: tetragonal
- Total moment: 0.000 μB per atom
- Calculated volume: 11.52 Å³/atom

```
&SYSTEM
  ibrav = 0, nat = 8, ntyp = 3
/
ATOMIC_SPECIES
Cr 52.00 Cr.upf
C 12.01 C.upf
Tc 98.00 Tc.upf
CELL_PARAMETERS angstrom
6.549 0.000 0.000
0.000 6.549 0.000
3.274 3.274 2.148
ATOMIC_POSITIONS crystal
Cr 0.875 0.766 0.750
Cr 0.234 0.625 0.250
Cr 0.516 0.125 0.250
Cr 0.375 0.484 0.750
C 0.250 0.750 0.500
C 0.500 0.500 0.000
Tc 0.750 0.250 0.500
Tc 0.000 0.000 0.000
```



DFT (GGA-PBE) results for a relaxed structure of Li2MgH. Values from VASP.

Properties
- E_tot: -2.370 eV/atom
- Crystal system: trigonal
- Total moment: 0.000 μB per atom
- Calculated volume: 14.51 Å³/atom

```
&SYSTEM
  ibrav = 0, nat = 4, ntyp = 3
/
ATOMIC_SPECIES
Mg 24.30 Mg.upf
Li 6.94 Li.upf
H 1.01 H.upf
CELL_PARAMETERS angstrom
-1.856 -2.093 -1.062
1.035 -2.736 -0.633
-1.800 -3.804 6.426
ATOMIC_POSITIONS crystal
Mg 0.501 0.501 0.498
Li 0.051 0.051 0.846
Li 0.282 0.282 0.154
H 0.666 0.666 0.002
```



DFT (GGA-PBE) results for a relaxed structure of SiSn3Se. Values from VASP.

Properties
- E_form (uncorrected): 3.59 eV/f.u.
- E_tot: -3.465 eV/atom
- Crystal system: cubic
- Total moment: 0.000 μB per atom
- Calculated volume: 33.07 Å³/atom

```
&SYSTEM
  ibrav = 0, nat = 5, ntyp = 3
/
ATOMIC_SPECIES
Sn 118.71 Sn.upf
Se 78.96 Se.upf
Si 28.09 Si.upf
CELL_PARAMETERS angstrom
5.489 0.000 0.000
0.000 5.489 0.000
0.000 0.000 5.489
ATOMIC_POSITIONS crystal
Sn 0.000 0.500 0.000
Sn 0.000 0.000 0.500
Sn 0.500 0.000 0.000
Se 0.000 0.000 0.000
Si 0.500 0.500 0.500
```



DFT (GGA-PBE) results for a relaxed structure of Be2CrCdCl. Values from VASP.

Properties
- E_form (uncorrected): 4.14 eV/f.u.
- E_tot: -3.140 eV/atom
- Crystal system: tetragonal
- Total moment: 0.117 μB per atom
- Calculated volume: 17.45 Å³/atom

```
&SYSTEM
  ibrav = 0, nat = 5, ntyp = 4
/
ATOMIC_SPECIES
Cr 52.00 Cr.upf
Be 9.01 Be.upf
Cd 112.41 Cd.upf
Cl 35.45 Cl.upf
CELL_PARAMETERS angstrom
4.552 0.000 0.000
0.000 4.210 0.000
0.000 0.000 4.552
ATOMIC_POSITIONS crystal
Cr 0.000 0.000 0.000
Be 0.000 0.000 0.500
Be 0.500 0.000 0.000
Cd 0.500 0.500 0.500
Cl 0.000 0.500 0.000
```



DFT (GGA-PBE) results for a relaxed structure of SnHBr3. Values from VASP.

Properties
- E_tot: -2.463 eV/atom
- Crystal system: cubic
- Total moment: 0.192 μB per atom
- Calculated volume: 33.83 Å³/atom

```
&SYSTEM
  ibrav = 0, nat = 5, ntyp = 3
/
ATOMIC_SPECIES
Br 79.90 Br.upf
H 1.01 H.upf
Sn 118.71 Sn.upf
CELL_PARAMETERS angstrom
5.531 0.000 0.000
0.000 5.531 0.000
0.000 0.000 5.531
ATOMIC_POSITIONS crystal
Br 0.000 0.500 0.000
Br 0.000 0.000 0.500
Br 0.500 0.000 0.000
H 0.500 0.500 0.500
Sn 0.000 0.000 0.000
```



DFT (GGA-PBE) results for a relaxed structure of Rb3BaAg. Values from VASP.

Properties
- ΔH_f (0 K): 0.726 eV per atom
- E_tot: -0.810 eV/atom
- Crystal system: cubic
- Total moment: 0.400 μB per atom
- Calculated volume: 121.66 Å³/atom

```
&SYSTEM
  ibrav = 0, nat = 5, ntyp = 3
/
ATOMIC_SPECIES
Rb 85.47 Rb.upf
Ag 107.87 Ag.upf
Ba 137.33 Ba.upf
CELL_PARAMETERS angstrom
8.473 0.000 0.000
0.000 8.473 0.000
0.000 0.000 8.473
ATOMIC_POSITIONS crystal
Rb 0.000 0.500 0.000
Rb 0.500 0.000 0.000
Rb 0.000 0.000 0.500
Ag 0.500 0.500 0.500
Ba 0.000 0.000 0.000
```



DFT (GGA-PBE) results for a relaxed structure of CeNd2CdN. Values from VASP.

Properties
- E_form (uncorrected): -3.41 eV/f.u.
- E_tot: -5.624 eV/atom
- Crystal system: tetragonal
- Total moment: 0.111 μB per atom
- Calculated volume: 24.98 Å³/atom

```
&SYSTEM
  ibrav = 0, nat = 5, ntyp = 4
/
ATOMIC_SPECIES
Ce 140.12 Ce.upf
Cd 112.41 Cd.upf
Nd 144.24 Nd.upf
N 14.01 N.upf
CELL_PARAMETERS angstrom
4.824 0.000 0.000
0.000 5.088 0.000
0.000 0.000 5.088
ATOMIC_POSITIONS crystal
Ce 0.500 0.000 0.000
Cd 0.500 0.500 0.500
Nd 0.000 0.500 0.000
Nd 0.000 0.000 0.500
N 0.000 0.000 0.000
```